Computed, not measured: a relaxed GdTaN2O crystal at the PBE level of DFT.

a = 6.2340 Å, b = 6.2340 Å, c = 12.4073 Å
α = 90.00°, β = 90.00°, γ = 120.00°
Space group P6_3cm (No. 185)
Asymmetric unit:
Gd 0.0000 0.0000 0.0000 x2
Gd 0.3333 0.6667 0.4661 x4
Ta 0.0000 0.3338 0.2290 x6
N 0.0000 0.3098 0.3859 x6
N 0.0000 0.3569 0.0730 x6
O 0.0000 0.0000 0.2100 x2
O 0.3333 0.6667 0.2417 x4

Calculated values
electronic total energy = -9.067 eV/atom